Entry from Alexandria via LeMat-Bulk: crystalline ErAsPd4 at its relaxed geometry (GGA-PBE).

Unit cell a=5.6761 b=7.2441 c=5.6769 alpha=90.00 beta=90.00 gamma=90.00
With the nearest neighbours (Å) after each atom.
Sites, in units of the cell vectors:
Er  0.0000  0.5000  0.2500  8 Pd 2.89
Er  0.5000  0.5000  0.7500  8 Pd 2.89
As  0.0000  0.0000  0.7500  8 Pd 2.53
As  0.5000  0.0000  0.2500  8 Pd 2.53
Pd  0.2501  0.7872  0.9999  2 As 2.53
Pd  0.2499  0.2128  0.0001  2 As 2.53
Pd  0.2501  0.2128  0.5001  2 As 2.53
Pd  0.2499  0.7872  0.4999  2 As 2.53
Pd  0.7499  0.7872  0.5001  2 As 2.53
Pd  0.7501  0.2128  0.4999  2 As 2.53
Pd  0.7499  0.2128  0.9999  2 As 2.53
Pd  0.7501  0.7872  0.0001  2 As 2.53

Calculated formation energy: -0.520 eV per atom

Entry from Alexandria via LeMat-Bulk: crystalline Er2As3Pd9 at its relaxed geometry (GGA-PBE).

Unit cell a=7.8356 b=7.8356 c=10.0349 alpha=89.67 beta=113.49 gamma=119.79
With the nearest neighbours (Å) after each atom.
Sites, in units of the cell vectors:
Er  0.3354  0.2431  0.7498  11 Pd 2.95-3.29
Er  0.6646  0.7569  0.2502  11 Pd 2.95-3.29
Er  0.9933  0.5856  0.7502  11 Pd 2.95-3.29
Er  0.0067  0.4144  0.2498  11 Pd 2.95-3.29
As  0.5000  0.0000  0.0000  6 Pd 2.48-2.77
As  0.5000  0.5000  0.5000  6 Pd 2.48-2.77
As  0.8508  0.1784  0.5007  4 Pd 2.44-2.53
As  0.1492  0.8216  0.4993  4 Pd 2.44-2.53
As  0.1777  0.3502  0.9993  4 Pd 2.44-2.53
As  0.8223  0.6498  0.0007  4 Pd 2.44-2.53
Pd  0.4592  0.9230  0.7462  2 As 2.44-2.48
Pd  0.5407  0.0770  0.2538  2 As 2.44-2.48
Pd  0.6768  0.7131  0.7538  2 As 2.44-2.48
Pd  0.3232  0.2869  0.2462  2 As 2.44-2.48
Pd  0.4304  0.6257  0.9179  3 As 2.50-2.77
Pd  0.5696  0.3743  0.0821  3 As 2.50-2.77
Pd  0.2079  0.5125  0.5821  3 As 2.50-2.77
Pd  0.7921  0.4875  0.4179  3 As 2.50-2.77
Pd  0.8828  0.1328  0.7500  2 As 2.46
Pd  0.1172  0.8672  0.2500  2 As 2.46
Pd  0.1452  0.9849  0.9464  3 As 2.55-2.84
Pd  0.8548  0.0151  0.0536  3 As 2.55-2.84
Pd  0.5385  0.1988  0.5536  3 As 2.55-2.84
Pd  0.4615  0.8012  0.4464  3 As 2.55-2.84
Pd  0.9010  0.8626  0.5799  3 As 2.53-2.78, 2 Pd 2.81-2.82
Pd  0.0990  0.1374  0.4201  3 As 2.53-2.78, 2 Pd 2.81-2.82
Pd  0.7827  0.3211  0.9201  3 As 2.53-2.78, 2 Pd 2.81-2.82
Pd  0.2173  0.6789  0.0799  3 As 2.53-2.78, 2 Pd 2.81-2.82

Calculated formation energy: -0.689 eV per atom

Entry from Alexandria via LeMat-Bulk: crystalline Pr2ErAs4Pd3 at its relaxed geometry (GGA-PBE).

Unit cell a=4.4482 b=4.4482 c=10.8747 alpha=90.00 beta=90.00 gamma=90.00
With the nearest neighbours (Å) after each atom.
Sites, in units of the cell vectors:
Pr  0.5000  0.0000  0.2176  8 As 3.25-3.45, 4 Pd 3.33
Pr  0.0000  0.5000  0.7824  8 As 3.25-3.45, 4 Pd 3.33
Er  0.5000  0.5000  0.5000  4 As 2.78
As  0.5000  0.5000  0.0000  4 Pd 2.56
As  0.0000  0.0000  0.0000  4 Pd 2.56
As  0.5000  0.0000  0.6531  3 Pd 2.50-2.78, 2 Er 2.78
As  0.0000  0.5000  0.3469  3 Pd 2.50-2.78, 2 Er 2.78
Pd  0.0000  0.0000  0.5000  4 As 2.78
Pd  0.5000  0.0000  0.8828  5 As 2.50-2.56
Pd  0.0000  0.5000  0.1172  5 As 2.50-2.56

Calculated formation energy: -0.952 eV per atom

Entry from Alexandria via LeMat-Bulk: crystalline ErSb2As2Pd7 at its relaxed geometry (GGA-PBE).

Unit cell a=3.9721 b=3.9721 c=15.6089 alpha=82.64 beta=82.64 gamma=90.04
With the nearest neighbours (Å) after each atom.
Sites, in units of the cell vectors:
Er  0.0000  0.0000  0.0000  12 Pd 2.81-2.94
Sb  0.7858  0.7858  0.4266  5 Pd 2.69-2.84
Sb  0.2142  0.2142  0.5734  5 Pd 2.69-2.84
As  0.6197  0.6197  0.7623  5 Pd 2.47-2.48
As  0.3803  0.3803  0.2377  5 Pd 2.47-2.48
Pd  0.5000  0.5000  0.0000  4 Er 2.81, 8 Pd 2.94
Pd  0.3006  0.3006  0.3983  1 As 2.47, 1 Sb 2.69
Pd  0.6994  0.6994  0.6017  1 As 2.47, 1 Sb 2.69
Pd  0.9287  0.4287  0.1414  2 As 2.47-2.48
Pd  0.4287  0.9287  0.1414  2 As 2.47-2.48
Pd  0.5713  0.0713  0.8586  2 As 2.47-2.48
Pd  0.0713  0.5713  0.8586  2 As 2.47-2.48

Formation energy (no corrections): -0.52 eV/atom

Entry from Alexandria via LeMat-Bulk: crystalline Er6As2PdSe3 at its relaxed geometry (GGA-PBE).

Unit cell a=4.0323 b=8.1926 c=9.1280 alpha=103.48 beta=102.76 gamma=90.00
With the nearest neighbours (Å) after each atom.
Sites, in units of the cell vectors:
Er  0.3354  0.9115  0.6708  2 As 2.84, 1 Pd 2.85, 3 Se 2.87-2.93
Er  0.6698  0.5764  0.3397  3 As 2.82-2.84, 3 Se 2.91-2.94
Er  0.6646  0.0885  0.3292  2 As 2.84, 1 Pd 2.85, 3 Se 2.87-2.93
Er  0.0011  0.2407  0.0023  2 Pd 2.82, 1 As 2.85, 3 Se 2.93-2.95
Er  0.9989  0.7593  0.9977  2 Pd 2.82, 1 As 2.85, 3 Se 2.93-2.95
Er  0.3302  0.4236  0.6603  3 As 2.82-2.84, 3 Se 2.91-2.94
As  0.8339  0.6668  0.6678  6 Er 2.82-2.85
As  0.1661  0.3332  0.3322  6 Er 2.82-2.85
Pd  0.5000  0.0000  0.0000  6 Er 2.82-2.85
Se  0.5000  0.5000  0.0000  6 Er 2.93-2.94
Se  0.8307  0.1682  0.6613  6 Er 2.87-2.95
Se  0.1693  0.8318  0.3387  6 Er 2.87-2.95

Formation energy (no corrections): -1.52 eV/atom

Entry from Alexandria via LeMat-Bulk: crystalline Er4AsPdSe2 at its relaxed geometry (GGA-PBE).

Unit cell a=4.0177 b=7.1310 c=7.0327 alpha=71.15 beta=90.00 gamma=90.00
With the nearest neighbours (Å) after each atom.
Sites, in units of the cell vectors:
Er  0.0000  0.7379  0.7578  2 Pd 2.82, 1 As 2.86, 3 Se 2.91-2.94
Er  0.0000  0.2621  0.2422  2 Pd 2.82, 1 As 2.86, 3 Se 2.91-2.94
Er  0.5000  0.7407  0.2530  2 As 2.84, 1 Pd 2.84, 3 Se 2.91-2.92
Er  0.5000  0.2593  0.7470  2 As 2.84, 1 Pd 2.84, 3 Se 2.91-2.92
As  0.0000  0.5000  0.5000  6 Er 2.84-2.86
Pd  0.5000  0.5000  0.0000  6 Er 2.82-2.84
Se  0.0000  0.0000  0.0000  6 Er 2.91
Se  0.5000  0.0000  0.5000  6 Er 2.92-2.94

Formation energy (no corrections): -1.43 eV/atom

no.,M_tot (μB per atom)
1,0.000
2,0.000
3,0.000
4,0.000
5,0.000
6,0.000